This record from Alexandria via LeMat-Bulk describes crystalline CrP2CO at its relaxed geometry. The functional is GGA+U.

Calculated values
As for the total energy: -5.53 eV per atom. The calculation puts the distance to the lowest polymorph of the same formula at 0.0 kJ/mol of atoms.

Unit cell a=3.951 b=3.951 c=3.867 alpha=90.00 beta=90.00 gamma=90.00
Fractional coordinates of all 5 atoms:
Cr 0.000 0.000 0.000
P 0.000 0.500 0.500
P 0.500 0.000 0.500
C 0.500 0.500 0.500
O 0.500 0.500 0.000